{"formula": "Tb6ErTh", "functional": "PBE-GGA", "state": "relaxed", "e_above_lowest_polymorph_ev_per_atom": 0.182, "formation_energy_mev_per_atom": 215, "lattice": [[-2.9278, -5.8351, 1.0923], [3.4436, -0.3836, 5.6163], [-5.7360, -0.2182, 3.5681]], "species": ["Th", "Tb", "Tb", "Tb", "Tb", "Tb", "Tb", "Er"], "frac_coords": [[0.0000, 0.5000, 0.0000], [0.4261, 0.2519, 0.5048], [0.5373, 0.7464, 0.9915], [0.9219, 0.2464, 0.5080], [0.5739, 0.7481, 0.4952], [0.0781, 0.7536, 0.4920], [0.4627, 0.2536, 0.0085], [0.0000, 0.0000, 0.0000]]}

=====

{"formula": "RuCO2F", "functional": "PBE-GGA", "state": "relaxed", "final_energy_ev_per_cell": -26.9, "lattice": [[-1.4041, 2.7706, 2.1637], [-3.3230, -0.2858, -1.7903], [-1.2616, -2.8196, 2.7918]], "species": ["O", "O", "C", "Ru", "F"], "frac_coords": [[0.5000, 0.0000, 0.0000], [0.0000, 0.5000, 0.0000], [0.5000, 0.5000, 0.5000], [0.0000, 0.0000, 0.0000], [0.0000, 0.0000, 0.5000]]}

=====

{"formula": "TlV2Ru", "functional": "PBE-GGA", "state": "relaxed", "e_above_lowest_polymorph_ev_per_atom": 0.131, "formation_energy_mev_per_atom": 576, "lattice": [[7.2147, 0.0000, 0.0000], [0.0000, 7.2147, 0.0000], [3.6074, 3.6074, 2.7087]], "species": ["V", "V", "V", "V", "Tl", "Tl", "Ru", "Ru"], "frac_coords": [[0.5682, 0.1250, 0.2500], [0.3750, 0.4318, 0.7500], [0.1818, 0.6250, 0.2500], [0.8750, 0.8182, 0.7500], [0.0000, 0.0000, 0.0000], [0.7500, 0.2500, 0.5000], [0.5000, 0.5000, 0.0000], [0.2500, 0.7500, 0.5000]]}

=====

{"formula": "PrYIrCl", "functional": "PBE-GGA", "state": "relaxed", "final_energy_ev_per_cell": -26.5, "lattice": [[4.0852, -0.0003, 0.0003], [-2.0420, 3.5367, 0.0000], [-2.0413, -1.1780, 7.6128]], "species": ["Ir", "Y", "Pr", "Cl"], "frac_coords": [[0.3098, 0.5527, 0.8781], [0.1029, 0.9491, 0.0683], [0.5056, 0.1505, 0.6716], [0.9597, 0.3785, 0.3517]]}